Entry 1:
This record from Alexandria via LeMat-Bulk describes crystalline BaNbCoRu2 at its relaxed geometry. The functional is PBE.

The structure in extended XYZ format:
```
5
Lattice="4.731 0.000 0.000 0.000 5.821 0.000 0.000 0.000 4.731" Properties=species:S:1:pos:R:3 pbc="T T T"
Ba 0.000 2.911 0.000
Co 2.365 2.911 2.365
Nb 0.000 0.000 0.000
Ru 2.365 0.000 0.000
Ru 0.000 0.000 2.365
```

Properties
Energy relative to the elements ... 8.42 eV/f.u.
Symmetry ... P4/mmm

=====

Entry 2:
This record from Alexandria via LeMat-Bulk describes crystalline BaNdCo at its relaxed geometry. The functional is PBE.

The structure in extended XYZ format:
```
12
Lattice="-3.634 6.472 0.214 -2.663 -5.913 4.771 4.643 2.422 5.594" Properties=species:S:1:pos:R:3 pbc="T T T"
Co -5.469 1.043 4.430
Co -0.021 4.121 3.824
Co -1.633 -1.140 6.755
Co 3.815 1.939 6.149
Nd -1.629 0.924 8.825
Nd -0.025 2.058 1.754
Nd -1.842 5.293 1.861
Nd 0.188 -2.312 8.718
Ba -2.697 2.573 5.206
Ba -2.169 -1.335 3.546
Ba 1.043 0.408 5.373
Ba 0.515 4.317 7.033
```

Properties
Energy relative to the elements ... 0.50 eV/f.u.
Symmetry ... Cmce

=====

Entry 3:
This record from Alexandria via LeMat-Bulk describes crystalline BaNd3Co at its relaxed geometry. The functional is PBE.

The structure in extended XYZ format:
```
5
Lattice="-0.519 -1.920 5.254 -3.354 -4.117 -1.836 4.478 -3.306 -0.766" Properties=species:S:1:pos:R:3 pbc="T T T"
Co 0.000 0.000 0.000
Ba 0.302 -4.672 1.326
Nd -0.260 -0.960 2.627
Nd 2.239 -1.653 -0.383
Nd -1.677 -2.058 -0.918
```

Properties
Energy relative to the elements ... 0.42 eV/f.u.
Symmetry ... Pm-3m